Record 1
Computed, not measured: an optimized crystal structure of ZrSiMo at the PBE level of DFT.

Unit cell a=7.0705 b=7.0705 c=3.5264 alpha=90.00 beta=90.00 gamma=120.00
With the nearest neighbours (Å) after each atom.
Atoms (fractional coordinates):
Mo1 0.2563 0.0000 0.0000  4 Si 2.53-2.67
Mo2 0.0000 0.2563 0.0000  4 Si 2.53-2.67
Mo3 0.7437 0.7437 0.0000  4 Si 2.53-2.67
Si1 0.6667 0.3333 0.0000  3 Mo 2.67, 6 Zr 2.79
Si2 0.3333 0.6667 0.0000  3 Mo 2.67, 6 Zr 2.79
Si3 0.0000 0.0000 0.5000  6 Mo 2.53
Zr1 0.5994 0.0000 0.5000  5 Si 2.79-2.83, 6 Mo 3.00-3.05
Zr2 0.4006 0.4006 0.5000  5 Si 2.79-2.83, 6 Mo 3.00-3.05
Zr3 0.0000 0.5994 0.5000  5 Si 2.79-2.83, 6 Mo 3.00-3.05

Computed properties:
Spin magnetization ... 0.01 μB/f.u.

***

Record 2
Computed, not measured: an optimized crystal structure of ZrSi2Mo2 at the PBE level of DFT.

Unit cell a=6.1858 b=6.1858 c=6.1858 alpha=143.56 beta=143.56 gamma=52.48
With the nearest neighbours (Å) after each atom.
Atoms (fractional coordinates):
Mo1 0.7500 0.2500 0.5000  4 Si 2.53, 4 Mo 2.73
Mo2 0.2500 0.7500 0.5000  4 Si 2.53, 4 Mo 2.73
Si1 0.3970 0.3970 0.0000  1 Si 2.29, 4 Mo 2.53
Si2 0.6030 0.6030 0.0000  1 Si 2.29, 4 Mo 2.53
Zr1 0.0000 0.0000 0.0000  8 Si 2.96

Computed properties:
ΔE to the lowest computed polymorph ... 0.0 meV per atom
Spin magnetization ... 0.02 μB/f.u.

***

Record 3
Computed, not measured: an optimized crystal structure of ZrSiMo at the PBE level of DFT.

Unit cell a=7.2001 b=7.2001 c=3.4710 alpha=90.00 beta=90.00 gamma=120.00
With the nearest neighbours (Å) after each atom.
Atoms (fractional coordinates):
Mo1 0.6667 0.3333 0.0000  3 Si 2.64, 6 Zr 2.82
Mo2 0.3333 0.6667 0.0000  3 Si 2.64, 6 Zr 2.82
Mo3 0.0000 0.0000 0.5000  6 Si 2.63, 3 Zr 2.81
Si1 0.2750 0.0000 0.0000  4 Mo 2.63-2.64
Si2 0.0000 0.2750 0.0000  4 Mo 2.63-2.64
Si3 0.7250 0.7250 0.0000  4 Mo 2.63-2.64
Zr1 0.6096 0.0000 0.5000  5 Mo 2.81-2.82, 6 Si 2.97-3.04
Zr2 0.3904 0.3904 0.5000  5 Mo 2.81-2.82, 6 Si 2.97-3.04
Zr3 0.0000 0.6096 0.5000  5 Mo 2.81-2.82, 6 Si 2.97-3.04

Computed properties:
Spin magnetization ... 0.01 μB/f.u.

***

Record 4
Computed, not measured: an optimized crystal structure of ZrSi2Mo at the PBE level of DFT.

Unit cell a=4.4821 b=4.4821 c=4.4821 alpha=60.00 beta=60.00 gamma=60.00
With the nearest neighbours (Å) after each atom.
Atoms (fractional coordinates):
Mo1 0.5000 0.5000 0.5000  4 Zr 2.74, 4 Si 2.74
Si1 0.0000 0.0000 0.0000  4 Zr 2.74, 4 Si 2.74
Si2 0.7500 0.7500 0.7500  4 Mo 2.74, 4 Si 2.74
Zr1 0.2500 0.2500 0.2500  4 Si 2.74, 4 Mo 2.74

Computed properties:
Spin magnetization ... 0.01 μB/f.u.

***

Record 5
Computed, not measured: an optimized crystal structure of ZrSiMo at the PBE level of DFT.

Unit cell a=7.2857 b=7.2857 c=3.3670 alpha=90.00 beta=90.00 gamma=120.00
With the nearest neighbours (Å) after each atom.
Atoms (fractional coordinates):
Mo1 0.6007 0.0000 0.0000  5 Si 2.79-2.91, 6 Zr 2.93-3.07
Mo2 0.3993 0.3993 0.0000  5 Si 2.79-2.91, 6 Zr 2.93-3.07
Mo3 0.0000 0.6007 0.0000  5 Si 2.79-2.91, 6 Zr 2.93-3.07
Si1 0.0000 0.0000 0.0000  6 Zr 2.60
Si2 0.6667 0.3333 0.5000  3 Zr 2.68, 6 Mo 2.79
Si3 0.3333 0.6667 0.5000  3 Zr 2.68, 6 Mo 2.79
Zr1 0.2712 0.0000 0.5000  4 Si 2.60-2.68
Zr2 0.0000 0.2712 0.5000  4 Si 2.60-2.68
Zr3 0.7288 0.7288 0.5000  4 Si 2.60-2.68

Computed properties:
Spin magnetization ... 0.00 μB/f.u.

***

Record 6
Computed, not measured: an optimized crystal structure of ZrSiMo at the PBE level of DFT.

Unit cell a=4.4545 b=4.4545 c=6.0243 alpha=90.00 beta=90.00 gamma=120.00
With the nearest neighbours (Å) after each atom.
Atoms (fractional coordinates):
Mo1 0.3333 0.6667 0.0332  4 Si 2.60-2.63, 3 Zr 2.88
Mo2 0.6667 0.3333 0.5332  4 Si 2.60-2.63, 3 Zr 2.88
Si1 0.3333 0.6667 0.4694  4 Mo 2.60-2.63, 3 Zr 2.90
Si2 0.6667 0.3333 0.9694  4 Mo 2.60-2.63, 3 Zr 2.90
Zr1 0.0000 0.0000 0.2474  6 Mo 2.88-3.09, 6 Si 2.90-3.07, 2 Zr 3.01
Zr2 0.0000 0.0000 0.7474  6 Mo 2.88-3.09, 6 Si 2.90-3.07, 2 Zr 3.01

Computed properties:
Spin magnetization ... 0.21 μB/f.u.

***

Record 7
Computed, not measured: an optimized crystal structure of Zr2Si2Mo at the PBE level of DFT.

Unit cell a=6.7312 b=6.7312 c=3.8079 alpha=90.00 beta=90.00 gamma=90.00
With the nearest neighbours (Å) after each atom.
Atoms (fractional coordinates):
Mo1 0.0000 0.0000 0.0000  4 Si 2.65
Mo2 0.5000 0.5000 0.0000  4 Si 2.65
Si1 0.6278 0.1278 0.0000  1 Si 2.43, 2 Mo 2.65, 2 Zr 2.68
Si2 0.1278 0.3722 0.0000  1 Si 2.43, 2 Mo 2.65, 2 Zr 2.68
Si3 0.8722 0.6278 0.0000  1 Si 2.43, 2 Mo 2.65, 2 Zr 2.68
Si4 0.3722 0.8722 0.0000  1 Si 2.43, 2 Mo 2.65, 2 Zr 2.68
Zr1 0.3253 0.1747 0.5000  6 Si 2.68-2.81
Zr2 0.8253 0.3253 0.5000  6 Si 2.68-2.81
Zr3 0.1747 0.6747 0.5000  6 Si 2.68-2.81
Zr4 0.6747 0.8253 0.5000  6 Si 2.68-2.81

Computed properties:
ΔE to the lowest computed polymorph ... 0.0 meV per atom
Spin magnetization ... 0.00 μB/f.u.

***

Record 8
Computed, not measured: an optimized crystal structure of ZrSiMo at the PBE level of DFT.

Unit cell a=6.9985 b=3.5415 c=8.2353 alpha=90.00 beta=90.00 gamma=90.00
With the nearest neighbours (Å) after each atom.
Atoms (fractional coordinates):
Mo1 0.6308 0.2500 0.0607  4 Si 2.53-2.70, 2 Mo 2.74
Mo2 0.1308 0.2500 0.4393  4 Si 2.53-2.70, 2 Mo 2.74
Mo3 0.8692 0.7500 0.5607  4 Si 2.53-2.70, 2 Mo 2.74
Mo4 0.3692 0.7500 0.9393  4 Si 2.53-2.70, 2 Mo 2.74
Si1 0.2565 0.2500 0.1376  4 Mo 2.53-2.70, 4 Zr 2.75-2.77
Si2 0.7565 0.2500 0.3624  4 Mo 2.53-2.70, 4 Zr 2.75-2.77
Si3 0.2435 0.7500 0.6376  4 Mo 2.53-2.70, 4 Zr 2.75-2.77
Si4 0.7435 0.7500 0.8624  4 Mo 2.53-2.70, 4 Zr 2.75-2.77
Zr1 0.9572 0.7500 0.1677  5 Si 2.75-2.93, 2 Mo 3.02
Zr2 0.4572 0.7500 0.3323  5 Si 2.75-2.93, 2 Mo 3.02
Zr3 0.5428 0.2500 0.6677  5 Si 2.75-2.93, 2 Mo 3.02
Zr4 0.0428 0.2500 0.8323  5 Si 2.75-2.93, 2 Mo 3.02

Computed properties:
Spin magnetization ... 0.00 μB/f.u.

***

Record 9
Computed, not measured: an optimized crystal structure of Zr2Si2Mo at the PBE level of DFT.

Unit cell a=7.5608 b=7.5608 c=7.5608 alpha=153.04 beta=153.04 gamma=38.49
With the nearest neighbours (Å) after each atom.
Atoms (fractional coordinates):
Mo1 0.0000 0.0000 0.0000  8 Zr 2.88
Si1 0.7500 0.2500 0.5000  4 Si 2.49, 4 Zr 2.77
Si2 0.2500 0.7500 0.5000  4 Si 2.49, 4 Zr 2.77
Zr1 0.3994 0.3994 0.0000  4 Si 2.77, 1 Zr 2.87, 4 Mo 2.88
Zr2 0.6006 0.6006 0.0000  4 Si 2.77, 1 Zr 2.87, 4 Mo 2.88

Computed properties:
ΔE to the lowest computed polymorph ... 788.7 meV per atom
Spin magnetization ... 0.00 μB/f.u.

***

Record 10
Computed, not measured: an optimized crystal structure of ZrSiMo at the PBE level of DFT.

Unit cell a=4.4949 b=4.4949 c=5.7952 alpha=90.00 beta=90.00 gamma=120.00
With the nearest neighbours (Å) after each atom.
Atoms (fractional coordinates):
Mo1 0.6667 0.3333 0.2500  5 Si 2.60-2.90
Mo2 0.3333 0.6667 0.7500  5 Si 2.60-2.90
Si1 0.3333 0.6667 0.2500  5 Mo 2.60-2.90
Si2 0.6667 0.3333 0.7500  5 Mo 2.60-2.90
Zr1 0.0000 0.0000 0.0000  2 Zr 2.90, 6 Mo 2.97, 6 Si 2.97
Zr2 0.0000 0.0000 0.5000  2 Zr 2.90, 6 Mo 2.97, 6 Si 2.97

Computed properties:
Spin magnetization ... 0.42 μB/f.u.

***

Record 11
Computed, not measured: an optimized crystal structure of SmMo2 at the PBE level of DFT.

Unit cell a=5.5611 b=5.5611 c=5.5611 alpha=60.00 beta=60.00 gamma=60.00
With the nearest neighbours (Å) after each atom.
Atoms (fractional coordinates):
Mo1 0.6250 0.6250 0.1250  6 Mo 2.78
Mo2 0.6250 0.1250 0.6250  6 Mo 2.78
Mo3 0.1250 0.6250 0.6250  6 Mo 2.78
Mo4 0.6250 0.6250 0.6250  6 Mo 2.78
Sm1 0.0000 0.0000 0.0000  12 Mo 3.26, 4 Sm 3.41
Sm2 0.2500 0.2500 0.2500  12 Mo 3.26, 4 Sm 3.41

Computed properties:
Spin magnetization ... 0.01 μB/f.u.
Energy of formation ... 19 kJ per mole of atoms

***

Record 12
Computed, not measured: an optimized crystal structure of Sm2Mo at the PBE level of DFT.

Unit cell a=5.9970 b=5.9970 c=5.9970 alpha=60.00 beta=60.00 gamma=60.00
With the nearest neighbours (Å) after each atom.
Atoms (fractional coordinates):
Mo1 0.0000 0.0000 0.0000  12 Sm 3.52, 4 Mo 3.67
Mo2 0.2500 0.2500 0.2500  12 Sm 3.52, 4 Mo 3.67
Sm1 0.6250 0.6250 0.1250  6 Sm 3.00
Sm2 0.6250 0.1250 0.6250  6 Sm 3.00
Sm3 0.1250 0.6250 0.6250  6 Sm 3.00
Sm4 0.6250 0.6250 0.6250  6 Sm 3.00

Computed properties:
Spin magnetization ... 0.00 μB/f.u.
Energy of formation ... 121 kJ per mole of atoms

***

no.,E_tot (eV per atom)
1,-8.914
2,-8.591
3,-8.478
4,-7.488
5,-8.524
6,-8.540
7,-8.558
8,-8.998
9,-7.769
10,-8.529
11,-8.605
12,-5.499